1.
# PBE Ce2GdH, relaxed
# D(E_F) (states/eV per cell): 9.1
data_Ce2GdH
_space_group_name_H-M_alt 'P 4/m m m'
_space_group_IT_number 123
_space_group_name_Hall '-P 4 2'
_cell_length_a 3.230
_cell_length_b 3.230
_cell_length_c 8.505
_cell_angle_alpha 90.00
_cell_angle_beta 90.00
_cell_angle_gamma 90.00
loop_
_atom_site_label
_atom_site_fract_x
_atom_site_fract_y
_atom_site_fract_z
_atom_site_occupancy
Ce1 0.000 0.000 0.163 1
Gd1 0.500 0.500 0.500 1
H1 0.500 0.500 0.000 1

=====

2.
# PBE Ta2CdPb, relaxed
# D(E_F) (states/eV per cell): 7.9
# ΔH_f (0 K) (eV/atom): 0.77
data_Ta2CdPb
_space_group_name_H-M_alt 'F -4 3 m'
_space_group_IT_number 216
_space_group_name_Hall 'F -4 2 3'
_cell_length_a 6.931
_cell_length_b 6.931
_cell_length_c 6.931
_cell_angle_alpha 90.00
_cell_angle_beta 90.00
_cell_angle_gamma 90.00
loop_
_atom_site_label
_atom_site_fract_x
_atom_site_fract_y
_atom_site_fract_z
_atom_site_occupancy
Ta1 0.000 0.000 0.000 1
Ta2 0.250 0.250 0.250 1
Cd1 0.250 0.250 0.750 1
Pb1 0.000 0.000 0.500 1

=====

3.
# PBE Ta2BeCoN, relaxed
# D(E_F) (states/eV per cell): 3.4
# Formation energy without anion corrections (eV/f.u.): 6.39
data_Ta2BeCoN
_space_group_name_H-M_alt 'P 4/m m m'
_space_group_IT_number 123
_space_group_name_Hall '-P 4 2'
_cell_length_a 4.534
_cell_length_b 4.534
_cell_length_c 3.646
_cell_angle_alpha 90.00
_cell_angle_beta 90.00
_cell_angle_gamma 90.00
loop_
_atom_site_label
_atom_site_fract_x
_atom_site_fract_y
_atom_site_fract_z
_atom_site_occupancy
Ta1 0.000 0.500 0.000 1
Be1 0.000 0.000 0.500 1
Co1 0.000 0.000 0.000 1
N1 0.500 0.500 0.500 1

=====

4.
# PBE Tb4Y5Ho2, relaxed
# D(E_F) (states/eV per cell): 15.2
# Relative energy among the computed polymorphs (meV per atom): 0
# ΔH_f (0 K) (eV/atom): 0.02
data_Tb4Y5Ho2
_space_group_name_H-M_alt 'P -1'
_space_group_IT_number 2
_cell_length_a 3.555
_cell_length_b 8.719
_cell_length_c 11.807
_cell_angle_alpha 75.86
_cell_angle_beta 81.40
_cell_angle_gamma 89.98
loop_
_space_group_symop_operation_xyz
'x,y,z'
'-x,-y,-z'
loop_
_atom_site_label
_atom_site_fract_x
_atom_site_fract_y
_atom_site_fract_z
_atom_site_occupancy
Tb1 0.046 0.365 0.409 1
Tb2 0.318 0.546 0.863 1
Y1 0.136 0.090 0.227 1
Y2 0.227 0.817 0.047 1
Y3 0.500 0.000 0.500 1
Ho1 0.410 0.274 0.680 1

=====

5.
# PBE Ta2CrIn, relaxed
# D(E_F) (states/eV per cell): 17.6
# ΔH_f (0 K) (eV/atom): 0.35
data_Ta2CrIn
_space_group_name_H-M_alt 'F -4 3 m'
_space_group_IT_number 216
_space_group_name_Hall 'F -4 2 3'
_cell_length_a 6.564
_cell_length_b 6.564
_cell_length_c 6.564
_cell_angle_alpha 90.00
_cell_angle_beta 90.00
_cell_angle_gamma 90.00
loop_
_atom_site_label
_atom_site_fract_x
_atom_site_fract_y
_atom_site_fract_z
_atom_site_occupancy
Ta1 0.000 0.000 0.000 1
Ta2 0.250 0.250 0.250 1
Cr1 0.000 0.000 0.500 1
In1 0.250 0.250 0.750 1

=====

6.
# PBE Tb4Pm2NdHo, relaxed
# D(E_F) (states/eV per cell): 76.5
# ΔH_f (0 K) (eV/atom): 0.41
data_Tb4Pm2NdHo
_space_group_name_H-M_alt 'C 1 2/c 1'
_space_group_IT_number 15
_cell_length_a 13.694
_cell_length_b 13.306
_cell_length_c 6.849
_cell_angle_alpha 90.00
_cell_angle_beta 119.99
_cell_angle_gamma 90.00
loop_
_space_group_symop_operation_xyz
'x,y,z'
'-x,-y,-z'
'-x,y,-z+1/2'
'x,-y,z+1/2'
'x+1/2,y+1/2,z'
'-x+1/2,-y+1/2,-z'
'-x+1/2,y+1/2,-z+1/2'
'x+1/2,-y+1/2,z+1/2'
loop_
_atom_site_label
_atom_site_fract_x
_atom_site_fract_y
_atom_site_fract_z
_atom_site_occupancy
Tb1 0.000 0.246 0.001 1
Tb2 0.247 0.000 0.494 1
Pm1 0.000 0.500 0.000 1
Pm2 0.250 0.250 0.500 1
Nd1 0.250 0.250 0.000 1
Ho1 0.000 0.000 0.000 1

=====

no.,energy (eV/atom)
1,-7.26
2,-6.31
3,-7.30
4,-5.43
5,-8.66
6,-4.26